No. 1
First-principles (PBE) data for a relaxed structure of Bi3MoAu, as listed in Alexandria.

Computed properties:
SG = Pm-3m, No. 221
N(E_F) = 4.314 states/eV per cell
ΔE to the lowest computed polymorph = 0.0 meV per atom
ΔE_f = 3.17 eV per formula unit

Unit cell a=5.353 b=5.353 c=5.353 alpha=90.00 beta=90.00 gamma=90.00
Element x y z (fractional)
Mo (0.000, 0.000, 0.000)
Bi (0.500, 0.000, 0.000)
Bi (0.000, 0.000, 0.500)
Bi (0.000, 0.500, 0.000)
Au (0.500, 0.500, 0.500)

***

No. 2
First-principles (PBE) data for a relaxed structure of BaSi, as listed in Alexandria.

Computed properties:
SG = Cm, No. 8
N(E_F) = 2.576 states/eV per cell
E_form (uncorrected) = -0.20 eV/atom

Unit cell a=6.259 b=6.259 c=10.348 alpha=63.05 beta=63.05 gamma=36.94
Element x y z (fractional)
Ba (0.705, 0.705, 0.620)
Ba (0.563, 0.563, 0.381)
Si (0.329, 0.329, 0.801)
Ba (0.961, 0.961, 0.026)
Si (0.954, 0.954, 0.699)
Si (0.321, 0.321, 0.306)

***

No. 3
First-principles (PBE) data for a relaxed structure of NiPd2I, as listed in Alexandria.

Computed properties:
SG = Fm-3m, No. 225
N(E_F) = 4.938 states/eV per cell
E_form (uncorrected) = 0.38 eV/atom
ΔE to the lowest computed polymorph = 48.9 meV per atom

Unit cell a=4.578 b=4.578 c=4.578 alpha=60.00 beta=60.00 gamma=60.00
Element x y z (fractional)
Pd (0.250, 0.250, 0.250)
Pd (0.750, 0.750, 0.750)
I (0.500, 0.500, 0.500)
Ni (0.000, 0.000, 0.000)